Record 1
This record from Alexandria describes crystalline La3Pm4Tm at its relaxed geometry. The functional is PBE-GGA.

```
La3Pm4Tm
1.0
3.455 0.000 -0.836
-1.230 10.748 -5.081
0.293 -2.469 8.767
Pm Tm La
4 1 3
Cartesian
1.800 3.415 -0.118
0.718 4.864 2.968
1.343 -0.600 5.550
1.175 8.880 -2.700
1.727 0.000 -0.418
-0.615 5.374 -2.541
1.839 6.876 0.042
0.680 1.403 2.808
```

Summary:
Its final energy is -4.67 eV per atom. The space-group type is Immm, No. 71. The polymorph energy (0 for the lowest one) comes out at 75 meV/atom. Its formation energy is 0.110 eV/atom.

Record 2
This record from Alexandria describes crystalline La6Pm3Tm at its relaxed geometry. The functional is PBE-GGA.

```
La6Pm3Tm
1.0
6.651 0.000 0.000
0.000 11.050 -1.831
0.000 -4.251 10.363
La Pm Tm
12 6 2
Cartesian
0.382 5.189 5.259
3.708 3.968 6.231
2.441 1.724 8.681
5.767 8.077 3.617
2.382 10.567 -1.445
4.407 0.071 6.919
1.081 6.729 1.613
5.708 -3.767 9.978
2.441 -1.278 4.915
5.767 5.076 -0.149
0.382 2.831 2.301
3.708 1.611 3.273
3.088 7.432 5.596
6.414 3.796 8.494
0.530 1.633 5.674
3.856 5.166 2.858
6.414 -0.633 2.937
3.088 3.004 0.039
0.714 -1.361 8.061
4.040 8.161 0.472
```

Summary:
Its final energy is -4.71 eV per atom. The space-group type is Cmc2_1, No. 36. The polymorph energy (0 for the lowest one) comes out at 74 meV/atom. Its formation energy is 0.116 eV/atom.

Record 3
This record from Alexandria describes crystalline La6Pm16Tm7 at its relaxed geometry. The functional is PBE-GGA.

```
La6Pm16Tm7
1.0
-7.196 3.546 -7.988
-5.175 -7.518 -6.698
-11.103 -1.895 1.138
La Pm Tm
6 16 7
Cartesian
-8.981 -4.859 -6.742
-14.492 -1.008 -6.805
-9.830 -0.213 -7.284
-13.644 -5.654 -6.264
-12.003 -3.370 -10.096
-11.470 -2.497 -3.451
-14.944 -4.183 -12.461
-20.588 -5.146 -11.882
-17.958 -1.324 -8.477
-16.930 -6.948 -7.821
-2.885 -0.721 -1.665
-8.529 -1.684 -1.086
-5.516 -4.543 -5.070
-6.543 1.081 -5.726
-8.510 -2.670 -9.563
-15.355 -3.838 -8.862
-12.164 0.797 -4.732
-10.918 -6.024 -3.937
-8.119 -2.029 -4.686
-14.964 -3.197 -3.984
-11.309 -6.664 -8.815
-12.555 0.157 -9.610
0.000 0.000 0.000
-9.149 0.825 -3.425
-2.588 -3.759 -3.349
-8.139 -4.706 -2.780
-3.598 1.773 -3.994
-5.551 -0.947 0.569
-6.185 -1.986 -7.343
```

Summary:
Its final energy is -4.52 eV per atom. The space-group type is Fm-3m, No. 225. Its formation energy is 0.199 eV/atom.

Record 4
This record from Alexandria describes crystalline La4PmTm15 at its relaxed geometry. The functional is PBE-GGA.

```
La4PmTm15
1.0
5.039 0.000 0.000
0.000 5.039 0.000
0.000 0.000 24.965
La Pm Tm
4 1 15
Cartesian
0.000 0.000 4.986
0.000 0.000 9.977
0.000 0.000 14.988
0.000 0.000 19.980
0.000 0.000 0.000
2.520 2.520 0.000
2.520 2.520 4.966
2.520 2.520 9.980
2.520 2.520 14.986
2.520 2.520 20.000
2.520 0.000 2.452
2.520 0.000 7.472
2.520 0.000 12.483
2.520 0.000 17.494
2.520 0.000 22.513
0.000 2.520 2.452
0.000 2.520 7.472
0.000 2.520 12.483
0.000 2.520 17.494
0.000 2.520 22.513
```

Summary:
Its final energy is -4.54 eV per atom. The space-group type is P4/mmm, No. 123. Its formation energy is 0.038 eV/atom.

Record 5
This record from Alexandria describes crystalline LaPm3Tm8 at its relaxed geometry. The functional is PBE-GGA.

```
LaPm3Tm8
1.0
8.260 -1.351 -2.188
-5.966 6.129 -1.299
1.259 1.351 8.452
La Pm Tm
1 3 8
Cartesian
0.000 0.000 0.000
-0.040 4.276 0.060
3.594 1.853 4.904
-2.353 3.740 3.576
2.978 1.188 0.716
0.576 4.941 4.247
-4.129 4.942 1.153
7.682 1.189 3.813
0.477 1.875 2.882
5.425 0.523 -1.486
-1.871 5.606 6.450
3.077 4.255 2.082
```

Summary:
Its final energy is -4.28 eV per atom. The space-group type is Immm, No. 71. Its formation energy is 0.295 eV/atom.

Record 6
This record from Alexandria describes crystalline La3Pm2Tm3 at its relaxed geometry. The functional is PBE-GGA.

```
La3Pm2Tm3
1.0
-4.249 2.252 -1.486
1.501 -0.417 -4.924
-3.298 -10.155 2.563
La Pm Tm
3 2 3
Cartesian
-2.517 -1.341 -3.362
-3.530 -6.979 -0.485
-2.125 1.126 -0.743
-4.447 -3.465 -1.062
-1.600 -4.855 -2.785
-1.178 -2.330 -0.162
0.751 -0.209 -2.462
-4.868 -5.990 -3.685
```

Summary:
Its final energy is -4.68 eV per atom. The space-group type is Immm, No. 71. The polymorph energy (0 for the lowest one) comes out at 0 meV/atom. Its formation energy is 0.030 eV/atom.